1.
VASP calculation (meta-GGA SCAN) on TiSb2RhI at its PBEsol-relaxed geometry.

The value obtained for the uncorrected formation energy is 0.464 eV/atom.

It has space group P4/mmm (No. 123), with a = 5.016 Å, b = 5.016 Å, c = 5.406 Å, α = 90.00°, β = 90.00° and γ = 90.00°. The distinct sites, in fractional coordinates, are Ti at (0.000, 0.000, 0.000), Sb at (0.000, 0.500, 0.500), Rh at (0.500, 0.500, 0.500) and I at (0.500, 0.500, 0.000).

2.
VASP calculation (meta-GGA SCAN) on ReTcNO2 at its PBEsol-relaxed geometry.

The value obtained for the uncorrected formation energy is -0.099 eV/atom.

It has space group P4/mmm (No. 123), with a = 3.855 Å, b = 3.855 Å, c = 3.919 Å, α = 90.00°, β = 90.00° and γ = 90.00°. The distinct sites, in fractional coordinates, are Re at (0.000, 0.000, 0.000), Tc at (0.500, 0.500, 0.500), N at (0.000, 0.000, 0.500) and O at (0.000, 0.500, 0.000).

3.
VASP calculation (meta-GGA SCAN) on Mn2TeF2 at its PBEsol-relaxed geometry.

The value obtained for the uncorrected formation energy is -1.789 eV/atom.

It has space group I4/mmm (No. 139), with a = 3.650 Å, b = 3.650 Å, c = 11.244 Å, α = 90.00°, β = 90.00° and γ = 90.00°. The distinct sites, in fractional coordinates, are Mn at (0.000, 0.000, 0.137), Te at (0.000, 0.000, 0.500) and F at (0.000, 0.500, 0.250).

4.
VASP calculation (meta-GGA SCAN) on TlRe2Au at its PBEsol-relaxed geometry.

For the formation energy, the calculation gives 3.2 eV/f.u.

It has space group Cm (No. 8), with a = 9.341 Å, b = 2.869 Å, c = 5.031 Å, α = 90.00°, β = 98.10° and γ = 90.00°. The distinct sites, in fractional coordinates, are Tl at (0.000, 0.000, 0.000), Re at (0.256, 0.500, 0.301), Re at (0.492, 0.000, 0.483) and Au at (0.243, 0.000, 0.766).

5.
VASP calculation (meta-GGA SCAN) on IrRu3 at its PBEsol-relaxed geometry.

For the formation energy, the calculation gives 0.0 eV/f.u.

It has space group Pmmn (No. 59, origin choice 2), with a = 5.361 Å, b = 13.017 Å, c = 4.645 Å, α = 90.00°, β = 90.00° and γ = 90.00°. The distinct sites, in fractional coordinates, are Ir at (0.250, 0.084, 0.166), Ir at (0.250, 0.750, 0.500), Ru at (0.000, 0.086, 0.667), Ru at (0.000, 0.250, 0.000), Ru at (0.250, 0.250, 0.501) and Ru at (0.250, 0.585, 0.834).

6.
VASP calculation (meta-GGA SCAN) on TaRhAu2 at its PBEsol-relaxed geometry.

For the formation energy, the calculation gives -0.3 eV/f.u.

It has space group Cmmm (No. 65), with a = 5.327 Å, b = 8.355 Å, c = 2.888 Å, α = 90.00°, β = 90.00° and γ = 90.00°. The distinct sites, in fractional coordinates, are Ta at (0.000, 0.000, 0.000), Rh at (0.000, 0.500, 0.000) and Au at (0.250, 0.250, 0.500).

7.
VASP calculation (meta-GGA SCAN) on TiFeSi2 at its PBEsol-relaxed geometry.

The value obtained for the uncorrected formation energy is -0.612 eV/atom.

It has space group Pbam (No. 55), with a = 8.474 Å, b = 9.426 Å, c = 7.517 Å, α = 90.00°, β = 90.00° and γ = 90.00°. The distinct sites, in fractional coordinates, are Ti at (0.168, 0.180, 0.000), Ti at (0.174, 0.451, 0.239), Fe at (0.000, 0.000, 0.244), Fe at (0.090, 0.743, 0.248), Si at (0.039, 0.620, 0.000), Si at (0.041, 0.623, 0.500), Si at (0.121, 0.901, 0.500), Si at (0.126, 0.896, 0.000) and Si at (0.162, 0.181, 0.344).

8.
VASP calculation (meta-GGA SCAN) on NaLi3Cu at its PBEsol-relaxed geometry.

For the formation energy, the calculation gives 0.7 eV/f.u.

It has space group Pm-3m (No. 221), with a = 4.823 Å, b = 4.823 Å, c = 4.823 Å, α = 90.00°, β = 90.00° and γ = 90.00°. The distinct sites, in fractional coordinates, are Na at (0.000, 0.000, 0.000), Li at (0.000, 0.500, 0.500) and Cu at (0.500, 0.500, 0.500).

9.
VASP calculation (meta-GGA SCAN) on KAlO2 at its PBEsol-relaxed geometry.

The value obtained for the uncorrected formation energy is -2.847 eV/atom.

It has space group P4_12_12 (No. 92), with a = 5.516 Å, b = 5.516 Å, c = 7.702 Å, α = 90.00°, β = 90.00° and γ = 90.00°. The distinct sites, in fractional coordinates, are K at (0.225, 0.225, 0.000), Al at (0.211, 0.211, 0.500) and O at (0.091, 0.757, 0.926).

10.
VASP calculation (meta-GGA SCAN) on Sc5Fe at its PBEsol-relaxed geometry.

For the formation energy, the calculation gives 0.1 eV/f.u.

It has space group P4/mmm (No. 123), with a = 3.130 Å, b = 3.130 Å, c = 12.615 Å, α = 90.00°, β = 90.00° and γ = 90.00°. The distinct sites, in fractional coordinates, are Sc at (0.000, 0.000, 0.000), Sc at (0.000, 0.000, 0.384), Sc at (0.500, 0.500, 0.183) and Fe at (0.500, 0.500, 0.500).

11.
VASP calculation (meta-GGA SCAN) on Ba2ZrCo at its PBEsol-relaxed geometry.

For the formation energy, the calculation gives 1.4 eV/f.u.

It has space group P4mm (No. 99), with a = 3.461 Å, b = 3.461 Å, c = 9.933 Å, α = 90.00°, β = 90.00° and γ = 90.00°. The distinct sites, in fractional coordinates, are Ba at (0.000, 0.000, 0.000), Ba at (0.500, 0.500, 0.381), Zr at (0.500, 0.500, 0.708) and Co at (0.000, 0.000, 0.618).

12.
VASP calculation (meta-GGA SCAN) on TmClO at its PBEsol-relaxed geometry.

The value obtained for the uncorrected formation energy is -3.477 eV/atom.

It has space group R-3m (No. 166, hexagonal axes), with a = 3.6951 Å, b = 3.6951 Å, c = 28.7494 Å, α = 90.00°, β = 90.00° and γ = 120.00°. The distinct sites, in fractional coordinates, are Tm at (0.0000, 0.0000, 0.2151), Cl at (0.0000, 0.0000, 0.3923) and O at (0.0000, 0.0000, 0.1378).

13.
VASP calculation (meta-GGA SCAN) on TaRu2Pb at its PBEsol-relaxed geometry.

For the formation energy, the calculation gives 1.3 eV/f.u.

It has space group P4mm (No. 99), with a = 3.500 Å, b = 3.500 Å, c = 5.664 Å, α = 90.00°, β = 90.00° and γ = 90.00°. The distinct sites, in fractional coordinates, are Ta at (0.000, 0.000, 0.000), Ru at (0.000, 0.000, 0.558), Ru at (0.500, 0.500, 0.859) and Pb at (0.500, 0.500, 0.348).

14.
VASP calculation (meta-GGA SCAN) on Ba2NbNiAg at its PBEsol-relaxed geometry.

For the formation energy, the calculation gives 4.6 eV/f.u.

It has space group P4/mmm (No. 123), with a = 6.088 Å, b = 6.088 Å, c = 4.663 Å, α = 90.00°, β = 90.00° and γ = 90.00°. The distinct sites, in fractional coordinates, are Ba at (0.000, 0.500, 0.000), Nb at (0.000, 0.000, 0.500), Ni at (0.500, 0.500, 0.500) and Ag at (0.500, 0.500, 0.000).

15.
VASP calculation (meta-GGA SCAN) on La3SeN at its PBEsol-relaxed geometry.

The value obtained for the uncorrected formation energy is -1.153 eV/atom.

It has space group Pm-3m (No. 221), with a = 4.917 Å, b = 4.917 Å, c = 4.917 Å, α = 90.00°, β = 90.00° and γ = 90.00°. The distinct sites, in fractional coordinates, are La at (0.000, 0.000, 0.500), Se at (0.500, 0.500, 0.500) and N at (0.000, 0.000, 0.000).

16.
VASP calculation (meta-GGA SCAN) on KCd2Au at its PBEsol-relaxed geometry.

For the formation energy, the calculation gives -0.6 eV/f.u.

It has space group Pmm2 (No. 25), with a = 3.016 Å, b = 4.198 Å, c = 7.723 Å, α = 90.00°, β = 90.00° and γ = 90.00°. The distinct sites, in fractional coordinates, are K at (0.000, 0.000, 0.000), Cd at (0.000, 0.000, 0.455), Cd at (0.500, 0.500, 0.674) and Au at (0.500, 0.500, 0.292).

17.
VASP calculation (meta-GGA SCAN) on LaZn2Ru at its PBEsol-relaxed geometry.

For the formation energy, the calculation gives 1.1 eV/f.u.

It has space group R-3m (No. 166, hexagonal axes), with a = 2.9186 Å, b = 2.9186 Å, c = 28.5905 Å, α = 90.00°, β = 90.00° and γ = 120.00°. The distinct sites, in fractional coordinates, are La at (0.0000, 0.0000, 0.0000), Zn at (0.0000, 0.0000, 0.2362) and Ru at (0.0000, 0.0000, 0.5000).

18.
VASP calculation (meta-GGA SCAN) on Sr4GeP4 at its PBEsol-relaxed geometry.

For the formation energy, the calculation gives -10.1 eV/f.u.

It has space group P-43n (No. 218), with a = 12.410 Å, b = 12.410 Å, c = 12.410 Å, α = 90.00°, β = 90.00° and γ = 90.00°. The distinct sites, in fractional coordinates, are Sr at (0.096, 0.133, 0.645), Sr at (0.145, 0.145, 0.145), Ge at (0.000, 0.000, 0.000), Ge at (0.000, 0.500, 0.250), P at (0.107, 0.382, 0.647) and P at (0.109, 0.109, 0.891).

19.
VASP calculation (meta-GGA SCAN) on CaMoIr2 at its PBEsol-relaxed geometry.

For the formation energy, the calculation gives 0.8 eV/f.u.

It has space group P4/mmm (No. 123), with a = 4.299 Å, b = 4.299 Å, c = 3.522 Å, α = 90.00°, β = 90.00° and γ = 90.00°. The distinct sites, in fractional coordinates, are Ca at (0.000, 0.000, 0.000), Mo at (0.500, 0.500, 0.000) and Ir at (0.000, 0.500, 0.500).

20.
VASP calculation (meta-GGA SCAN) on Ba2AgMoBr at its PBEsol-relaxed geometry.

The value obtained for the uncorrected formation energy is 0.134 eV/atom.

It has space group P4/mmm (No. 123), with a = 6.310 Å, b = 6.310 Å, c = 5.044 Å, α = 90.00°, β = 90.00° and γ = 90.00°. The distinct sites, in fractional coordinates, are Ba at (0.000, 0.500, 0.000), Ag at (0.000, 0.000, 0.000), Mo at (0.000, 0.000, 0.500) and Br at (0.500, 0.500, 0.500).